PaZnHg | PBE | relaxed

## Properties
Formation energy, eV per atom: 0.238
Energy above the most stable polymorph in this dataset, meV per atom: 0.0
Magnetic moment, μB/f.u.: 0.94

Lattice parameters (Å, degrees): 6.621 6.621 6.621 90.00 90.00 90.00
Space group F-43m (No. 216)
Unique sites:
Pa  0.000  0.000  0.000
Zn  0.250  0.250  0.750
Hg  0.000  0.000  0.500



LaBe2PIr | PBE | relaxed

## Properties
Electronic total energy, eV/cell: -58.03
Magnetic moment, μB/f.u.: 0.00

Lattice parameters (Å, degrees): 4.105 4.105 9.320 90.00 90.00 90.00
Space group I-4m2 (No. 119)
Unique sites:
La  0.000  0.000  0.000
Be  0.000  0.000  0.368
P  0.000  0.500  0.750
Ir  0.000  0.500  0.250



ZrNb2Ge | PBE | relaxed

## Properties
Electronic total energy, eV/cell: -136.14
Magnetic moment, μB/f.u.: 0.00

Lattice parameters (Å, degrees): 6.647 6.647 6.647 90.00 90.00 90.00
Space group F-43m (No. 216)
Unique sites:
Zr  0.000  0.000  0.000
Nb  0.000  0.000  0.500
Nb  0.250  0.250  0.250
Ge  0.250  0.250  0.750



CsScFeTe3 | PBE | relaxed

## Properties
Electronic total energy, eV/cell: -113.71
Magnetic moment, μB/f.u.: 4.00

Lattice parameters (Å, degrees): 18.305 4.425 9.686 90.00 100.18 90.00
Space group C2/m (No. 12)
Unique sites:
Cs  0.157  0.000  0.056
Sc  0.167  0.000  0.565
Fe  0.001  0.500  0.282
Te  0.000  0.000  0.500
Te  0.000  0.500  0.000
Te  0.149  0.500  0.750
Te  0.167  0.500  0.362



MgZr4InN2 | PBE | relaxed

## Properties
Electronic total energy, eV/cell: -62.85
Magnetic moment, μB/f.u.: 0.01

Lattice parameters (Å, degrees): 3.3075 3.3075 15.0651 90.00 90.00 120.00
Space group P-6m2 (No. 187)
Unique sites:
Mg  0.0000  0.0000  0.0000
Zr  0.0000  0.0000  0.3352
Zr  0.3333  0.6667  0.1710
In  0.3333  0.6667  0.5000
N  0.6667  0.3333  0.2524



HoInNO | PBE | relaxed

## Properties
Energy above the most stable polymorph in this dataset, meV per atom: 0.1
Magnetic moment, μB/f.u.: 0.00

Lattice parameters (Å, degrees): 3.484 3.484 4.740 90.00 90.00 90.00
Space group P4/mmm (No. 123)
Unique sites:
Ho  0.000  0.000  0.000
In  0.500  0.500  0.500
N  0.500  0.500  0.000
O  0.000  0.000  0.500



SmPO4 | PBE | relaxed

## Properties
Electronic total energy, eV/cell: -190.07
Magnetic moment, μB/f.u.: 0.00

Lattice parameters (Å, degrees): 4.867 4.867 11.327 90.00 90.00 90.00
Space group I4_1/a (No. 88, origin choice 2)
Unique sites:
Sm  0.000  0.250  0.125
P  0.000  0.250  0.625
O  0.118  0.490  0.699



Si2AgB | PBE | relaxed

## Properties
Electronic total energy, eV/cell: -64.00

Lattice parameters (Å, degrees): 6.120 6.120 6.120 90.00 90.00 90.00
Space group F-43m (No. 216)
Unique sites:
Si  0.000  0.000  0.000
Si  0.250  0.250  0.250
Ag  0.250  0.250  0.750
B  0.000  0.000  0.500



HfIn2Cu | PBE | relaxed

## Properties
Electronic total energy, eV/cell: -72.96
Magnetic moment, μB/f.u.: 0.02

Lattice parameters (Å, degrees): 6.866 6.866 6.866 90.00 90.00 90.00
Space group F-43m (No. 216)
Unique sites:
Hf  0.000  0.000  0.000
In  0.000  0.000  0.500
In  0.250  0.250  0.250
Cu  0.250  0.250  0.750



LaNdP2Pd2 | PBE | relaxed

## Properties
Electronic total energy, eV/cell: -38.54
Magnetic moment, μB/f.u.: 0.01

Lattice parameters (Å, degrees): 4.2557 4.2557 7.9412 90.00 90.00 120.00
Space group P-3m1 (No. 164)
Unique sites:
La  0.0000  0.0000  0.0000
Nd  0.0000  0.0000  0.5000
P  0.3333  0.6667  0.7455
Pd  0.3333  0.6667  0.2541



NbAsPbO | PBE | relaxed

## Properties
Energy above the most stable polymorph in this dataset, meV per atom: 258.4
Magnetic moment, μB/f.u.: 0.21

Lattice parameters (Å, degrees): 3.717 7.099 6.999 90.00 90.00 90.00
Space group Pmc2_1 (No. 26)
Unique sites:
Nb  0.000  0.202  0.000
As  0.000  0.119  0.345
Pb  0.500  0.385  0.550
O  0.500  0.254  0.919



Tb4CuCl2 | PBE | relaxed

## Properties
Electronic total energy, eV/cell: -31.09
Magnetic moment, μB/f.u.: 0.04

Lattice parameters (Å, degrees): 3.6916 3.6916 15.9308 90.00 90.00 120.00
Space group P-3m1 (No. 164)
Unique sites:
Tb  0.3333  0.6667  0.3837
Tb  0.3333  0.6667  0.9127
Cu  0.0000  0.0000  0.5000
Cl  0.3333  0.6667  0.2120



MgGaCoPb | PBE | relaxed

## Properties
Energy above the most stable polymorph in this dataset, meV per atom: 0.0
Magnetic moment, μB/f.u.: 0.58

Lattice parameters (Å, degrees): 6.623 6.623 6.623 90.00 90.00 90.00
Space group F-43m (No. 216)
Unique sites:
Mg  0.000  0.000  0.000
Ga  0.250  0.250  0.750
Co  0.000  0.000  0.500
Pb  0.250  0.250  0.250



NaPaPO | PBE | relaxed

## Properties
Energy above the most stable polymorph in this dataset, meV per atom: 143.6
Magnetic moment, μB/f.u.: 1.00

Lattice parameters (Å, degrees): 4.168 7.582 5.666 90.00 90.00 90.00
Space group Pmc2_1 (No. 26)
Unique sites:
Na  0.000  0.110  0.000
Pa  0.500  0.308  0.440
P  0.500  0.333  0.934
O  0.000  0.189  0.419



Zr3Ni4Au4 | PBE | relaxed

## Properties
Formation energy, eV per atom: -0.117
Magnetic moment, μB/f.u.: 0.01

Lattice parameters (Å, degrees): 5.815 5.815 12.415 90.00 90.00 90.00
Space group I-42m (No. 121)
Unique sites:
Zr  0.000  0.000  0.000
Zr  0.000  0.500  0.250
Ni  0.212  0.212  0.617
Au  0.000  0.000  0.226
Au  0.000  0.500  0.000



Pa2Ir | PBE | relaxed

## Properties
Formation energy, eV per atom: 1.691
Magnetic moment, μB/f.u.: 3.00

Lattice parameters (Å, degrees): 12.101 12.101 12.101 90.00 90.00 90.00
Space group Fd-3m (No. 227, origin choice 2)
Unique sites:
Pa  0.000  0.000  0.000
Ir  0.125  0.125  0.125



ZnH20PdC4N4O12 | PBE | relaxed

## Properties
Electronic total energy, eV/cell: -477.21

Lattice parameters (Å, degrees): 6.913 6.949 15.009 90.00 90.00 90.00
Space group I222 (No. 23)
Unique sites:
Zn  0.000  0.000  0.000
H  0.001  0.385  0.687
H  0.134  0.499  0.556
H  0.149  0.008  0.342
H  0.198  0.386  0.094
H  0.200  0.376  0.909
Pd  0.000  0.000  0.500
C  0.000  0.112  0.183
N  0.212  0.004  0.404
O  0.000  0.500  0.354
O  0.002  0.191  0.742
O  0.003  0.196  0.108
O  0.212  0.500  0.500



InPAuO | PBE | relaxed

## Properties
Energy above the most stable polymorph in this dataset, meV per atom: 20.2

Lattice parameters (Å, degrees): 4.252 7.188 5.116 90.00 90.00 90.00
Space group Pmc2_1 (No. 26)
Unique sites:
In  0.000  0.166  0.000
P  0.500  0.353  0.923
Au  0.500  0.318  0.438
O  0.000  0.117  0.415



KAcCu | PBE | relaxed

## Properties
Energy above the most stable polymorph in this dataset, meV per atom: 0.0
Magnetic moment, μB/f.u.: 0.06

Lattice parameters (Å, degrees): 7.559 7.559 7.559 90.00 90.00 90.00
Space group F-43m (No. 216)
Unique sites:
K  0.000  0.000  0.000
Ac  0.000  0.000  0.500
Cu  0.250  0.250  0.750



Cu12Sb4TeS12 | PBE | relaxed

## Properties
Electronic total energy, eV/cell: -239.58

Lattice parameters (Å, degrees): 10.488 10.488 10.488 90.00 90.00 90.00
Space group I-43m (No. 217)
Unique sites:
Cu  0.000  0.000  0.245
Cu  0.000  0.250  0.500
Sb  0.226  0.226  0.226
Te  0.000  0.000  0.000
S  0.120  0.120  0.630



MgNbAu | PBE | relaxed

## Properties
Electronic total energy, eV/cell: -53.14
Magnetic moment, μB/f.u.: 0.00

Lattice parameters (Å, degrees): 6.332 6.332 6.332 90.00 90.00 90.00
Space group F-43m (No. 216)
Unique sites:
Mg  0.000  0.000  0.000
Nb  0.250  0.250  0.250
Au  0.000  0.000  0.500



Hf2ZnIn | PBE | relaxed

## Properties
Electronic total energy, eV/cell: -90.71
Magnetic moment, μB/f.u.: 2.21

Lattice parameters (Å, degrees): 6.949 6.949 6.949 90.00 90.00 90.00
Space group F-43m (No. 216)
Unique sites:
Hf  0.000  0.000  0.000
Hf  0.250  0.250  0.250
Zn  0.250  0.250  0.750
In  0.000  0.000  0.500



Pr4Sm4Se3 | PBE | relaxed

## Properties
Electronic total energy, eV/cell: -113.07
Magnetic moment, μB/f.u.: 0.02

Lattice parameters (Å, degrees): 10.708 3.652 16.957 90.00 90.00 90.00
Space group Amm2 (No. 38)
Unique sites:
Pr  0.000  0.000  0.000
Pr  0.233  0.000  0.843
Pr  0.500  0.000  0.982
Sm  0.000  0.000  0.697
Sm  0.274  0.000  0.137
Sm  0.500  0.000  0.742
Se  0.000  0.000  0.346
Se  0.261  0.000  0.490